CsNb2Os PBE optimized geometry; size of the total moment = 0.0 μB/cell; calculated formation energy = 1.6106 eV/atom; ΔE to the lowest computed polymorph = 0.192 eV per atom
1.0
-3.9840 1.2457 3.4784
-2.5583 -4.6209 -1.2753
0.9171 -5.7298 7.3462
Cs Nb Os
2 4 2
direct
0.5000 0.5000 0.0000
0.2500 0.7500 0.5000
0.8365 0.1250 0.2500
0.9135 0.6250 0.2500
0.3750 0.1635 0.7500
0.8750 0.0865 0.7500
0.0000 0.0000 0.0000
0.7500 0.2500 0.5000

***

Li3Y2Sn4 PBE optimized geometry; size of the total moment = 0.0 μB/cell; calculated formation energy = -0.5115 eV/atom
1.0
6.2588 0.0000 0.0000
0.0000 8.0192 0.0000
-3.1294 0.0000 7.9982
Li Y Sn
6 4 8
direct
0.0000 0.0000 0.0000
0.5000 0.5000 0.0000
0.5219 0.7500 0.5439
0.9781 0.2500 0.4561
0.4781 0.2500 0.4561
0.0219 0.7500 0.5439
0.1073 0.5980 0.2145
0.8927 0.4020 0.7855
0.3927 0.0980 0.7855
0.6073 0.9020 0.2145
0.6948 0.7500 0.8897
0.8052 0.2500 0.1103
0.3052 0.2500 0.1103
0.1948 0.7500 0.8897
0.1782 0.9767 0.3564
0.8218 0.0233 0.6436
0.3218 0.4767 0.6436
0.6782 0.5233 0.3564

***

K2CdGa2 PBE optimized geometry; size of the total moment = 0.0 μB/cell; calculated formation energy = 0.0327 eV/atom; ΔE to the lowest computed polymorph = 0.081 eV per atom
1.0
-0.3233 -1.0063 -3.7012
0.9296 -3.6242 0.9041
-10.7142 -4.7370 0.2221
K Ga Cd
2 2 1
direct
0.3854 0.3854 0.2291
0.6146 0.6146 0.7709
0.7500 0.2500 0.5000
0.2500 0.7500 0.5000
0.0000 0.0000 0.0000

***

TmGePt2 PBE optimized geometry; size of the total moment = 0.0 μB/cell; calculated formation energy = -0.8223 eV/atom
1.0
-0.5115 3.5074 -0.0323
-2.0198 -0.3214 -2.9104
-2.7087 -0.3373 6.2655
Tm Ge Pt
1 1 2
direct
0.5000 0.5000 0.0000
0.5000 0.0000 0.5000
0.0000 0.2612 0.2612
0.0000 0.7388 0.7388

***

PmNdSi4 PBE optimized geometry; size of the total moment = 0.0 μB/cell; ΔE to the lowest computed polymorph = 0.297 eV per atom
1.0
5.4392 0.0000 0.0000
2.7196 4.7105 0.0000
2.7196 1.5702 4.4411
Si Nd Pm
4 1 1
direct
0.6255 0.6255 0.1236
0.6255 0.1236 0.6255
0.6255 0.6255 0.6255
0.1236 0.6255 0.6255
0.2500 0.2500 0.2500
0.0000 0.0000 0.0000

***

K2SnTe PBE optimized geometry; size of the total moment = 0.0 μB/cell; ΔE to the lowest computed polymorph = 0.000 eV per atom
1.0
9.7593 0.0000 0.0000
0.0000 9.7593 0.0000
4.8797 4.8797 3.2783
K Te Sn
4 2 2
direct
0.6501 0.1250 0.2500
0.0999 0.6250 0.2500
0.3750 0.3499 0.7500
0.8750 0.9001 0.7500
0.0000 0.0000 0.0000
0.7500 0.2500 0.5000
0.5000 0.5000 0.0000
0.2500 0.7500 0.5000